Entry 1:
Entry from the Alexandria database: Mg2ZrMn after structural relaxation (PBEsol).

Cell: 5.8927 5.8927 2.8591 Å, 101.14 101.14 122.55°
Closest atoms and distances in Å follow each position.
Sites, in units of the cell vectors:
Mg 0.0000 0.5000 0.0000  6 Mg 2.83-3.11, 2 Zr 3.02, 2 Mn 3.02
Mg 0.5000 0.0000 0.0000  6 Mg 2.83-3.11, 2 Zr 3.02, 2 Mn 3.02
Zr 0.0000 0.0000 0.5000  4 Mn 2.83-3.11, 2 Zr 2.86, 4 Mg 3.02
Mn 0.5000 0.5000 0.5000  4 Zr 2.83-3.11, 2 Mn 2.86, 4 Mg 3.02

energy of formation = 0.32 eV per atom


Entry 2:
Entry from the Alexandria database: TcIrRh2 after structural relaxation (PBEsol).

Cell: 2.6811 2.6811 7.6190 Å, 90.00 90.00 90.00°
Closest atoms and distances in Å follow each position.
Sites, in units of the cell vectors:
Tc 0.0000 0.0000 0.0000  4 Rh 2.66, 4 Ir 2.68, 4 Tc 2.68
Ir 0.5000 0.5000 0.2484  4 Tc 2.68, 4 Ir 2.68, 4 Rh 2.70
Rh 0.0000 0.0000 0.5008  8 Rh 2.68-2.71, 4 Ir 2.70
Rh 0.5000 0.5000 0.7548  4 Tc 2.66, 8 Rh 2.68-2.71

ΔE to the lowest computed polymorph = 12 meV/atom
energy of formation = -0.10 eV per atom


Entry 3:
Entry from the Alexandria database: RbZnSeBr2 after structural relaxation (PBEsol).

Cell: 6.2839 6.2839 6.3215 Å, 90.00 90.00 90.00°
Closest atoms and distances in Å follow each position.
Sites, in units of the cell vectors:
Rb 0.0000 0.0000 0.0000  4 Br 3.14, 2 Se 3.16
Zn 0.5000 0.5000 0.5000  4 Se 4.44, 8 Br 4.46
Se 0.0000 0.0000 0.5000  2 Rb 3.16
Br 0.0000 0.5000 0.0000  2 Rb 3.14
Br 0.5000 0.0000 0.0000  2 Rb 3.14

formation energy without anion corrections = 0.42 eV per atom
ΔE to the lowest computed polymorph = 1175 meV/atom


Entry 4:
Entry from the Alexandria database: MgCd2O after structural relaxation (PBEsol).

Cell: 4.6441 4.6441 4.6441 Å, 60.00 60.00 60.00°
Closest atoms and distances in Å follow each position.
Sites, in units of the cell vectors:
Mg 0.0000 0.0000 0.0000  8 Cd 2.84
Cd 0.2500 0.2500 0.2500  4 O 2.84, 4 Mg 2.84
Cd 0.7500 0.7500 0.7500  4 O 2.84, 4 Mg 2.84
O 0.5000 0.5000 0.5000  8 Cd 2.84

formation energy without anion corrections = 0.18 eV per atom


Entry 5:
Entry from the Alexandria database: Si2AsSe after structural relaxation (PBEsol).

Cell: 5.4705 5.4705 2.7447 Å, 99.79 99.79 118.41°
Closest atoms and distances in Å follow each position.
Sites, in units of the cell vectors:
Si 0.0000 0.5000 0.0000  4 Si 2.74-2.80, 2 Se 2.84, 2 As 2.84
Si 0.5000 0.0000 0.0000  4 Si 2.74-2.80, 2 Se 2.84, 2 As 2.84
As 0.0000 0.0000 0.5000  2 As 2.74, 2 Se 2.80, 4 Si 2.84
Se 0.5000 0.5000 0.5000  2 Se 2.74, 2 As 2.80, 4 Si 2.84

formation energy without anion corrections = 0.44 eV per atom
ΔE to the lowest computed polymorph = 56 meV/atom


Entry 6:
Entry from the Alexandria database: NaScB3 after structural relaxation (PBEsol).

Cell: 4.4855 4.4855 4.4855 Å, 90.00 90.00 90.00°
Closest atoms and distances in Å follow each position.
Sites, in units of the cell vectors:
Na 0.0000 0.0000 0.0000  12 B 3.17
Sc 0.5000 0.5000 0.5000  6 B 2.24
B 0.0000 0.5000 0.5000  2 Sc 2.24
B 0.5000 0.0000 0.5000  2 Sc 2.24
B 0.5000 0.5000 0.0000  2 Sc 2.24

energy of formation = 1.80 eV per atom


Entry 7:
Entry from the Alexandria database: ScTa2Cl after structural relaxation (PBEsol).

Cell: 3.2483 7.2125 7.2125 Å, 26.79 90.00 90.00°
Closest atoms and distances in Å follow each position.
Sites, in units of the cell vectors:
Sc 0.0000 0.0000 0.0000  4 Cl 2.80, 4 Ta 2.93
Ta 0.0000 0.7742 0.7742  4 Ta 2.71, 2 Cl 2.81
Ta 0.5000 0.3734 0.3734  4 Ta 2.71, 4 Sc 2.93
Cl 0.5000 0.6105 0.6105  4 Sc 2.80, 2 Ta 2.81

formation energy without anion corrections = -0.22 eV per atom
ΔE to the lowest computed polymorph = 0 meV/atom


Entry 8:
Entry from the Alexandria database: InReRu2 after structural relaxation (PBEsol).

Cell: 2.7675 2.7675 9.0812 Å, 90.00 90.00 117.71°
Closest atoms and distances in Å follow each position.
Sites, in units of the cell vectors:
In 0.0000 0.0000 0.0000  2 Ru 2.71, 6 In 2.77-2.86, 2 Re 2.86
Re 0.5000 0.5000 0.7274  2 Ru 2.56, 6 Re 2.77-2.86, 2 In 2.86
Ru 0.0000 0.0000 0.4931  2 Re 2.56, 8 Ru 2.61-2.86
Ru 0.5000 0.5000 0.2534  8 Ru 2.61-2.86, 2 In 2.71

energy of formation = 0.59 eV per atom


Which formula does entry 2 have? TcIrRh2